# TaHgOs3, optimized geometry, DFT PBE-GGA
# Energy relative to the lowest polymorph listed for this composition, eV per atom: 0.0000
# DOS at the Fermi energy, states/eV/cell: 7.7
# Electronic total energy, eV/atom: -6.982
data_TaHgOs3
_cell_length_a 4.787
_cell_length_b 4.787
_cell_length_c 4.787
_cell_angle_alpha 90.00
_cell_angle_beta 90.00
_cell_angle_gamma 90.00
_space_group_name_H-M_alt 'P m -3 m'
_space_group_IT_number 221
_space_group_name_Hall '-P 4 2 3'
loop_
_atom_site_label
_atom_site_type_symbol
_atom_site_fract_x
_atom_site_fract_y
_atom_site_fract_z
Ta1 Ta 0.000 0.000 0.000
Hg1 Hg 0.500 0.500 0.500
Os1 Os 0.000 0.000 0.500